Material: TbTaMoO6
Method: DFT, PBE with a Hubbard U
State: optimized geometry

Results
E = -76.4 eV per formula unit
space-group type = No. 163

Unit cell a=5.4470 b=5.4470 c=8.9546 alpha=90.00 beta=90.00 gamma=120.00
Atoms (fractional coordinates):
O: 0.6558 0.6975 0.6271
O: 0.3025 0.3442 0.8729
O: 0.9583 0.6558 0.3729
O: 0.6558 0.9583 0.8729
Tb: 0.3333 0.6667 0.2500
O: 0.3025 0.9583 0.6271
O: 0.6975 0.6558 0.1271
Ta: 0.6667 0.3333 0.2500
O: 0.9583 0.3025 0.1271
O: 0.6975 0.0417 0.3729
O: 0.3442 0.3025 0.3729
Tb: 0.6667 0.3333 0.7500
O: 0.0417 0.6975 0.8729
O: 0.3442 0.0417 0.1271
Mo: 0.0000 0.0000 0.5000
Mo: 0.0000 0.0000 0.0000
Ta: 0.3333 0.6667 0.7500
O: 0.0417 0.3442 0.6271